# 1
This record from Alexandria via LeMat-Bulk describes a relaxed Hf3CoB crystal. The functional is PBE.

Results
The value obtained for the relative energy among the computed polymorphs is 501 meV per atom. The total DFT energy (no corrections) is -8.627 eV per atom. The value obtained for the formation energy is 0.101 eV per atom. Its volume is 90.4 Å³ per cell. The space-group type is Pm-3m, No. 221.

a b c (Å): 4.4888 4.4888 4.4888
angles (deg): 90.00 90.00 90.00
Sites, in units of the cell vectors:
Hf 0.0000 0.0000 0.5000
Hf 0.0000 0.5000 0.0000
Hf 0.5000 0.0000 0.0000
Co 0.5000 0.5000 0.5000
B 0.0000 0.0000 0.0000

=====

# 2
This record from Alexandria via LeMat-Bulk describes a relaxed CsTi3V crystal. The functional is PBE.

Results
The value obtained for the relative energy among the computed polymorphs is 1042 meV per atom. The total DFT energy (no corrections) is -4.532 eV per atom. The value obtained for the formation energy is 2.199 eV per atom. Its volume is 119.2 Å³ per cell. The space-group type is Pm-3m, No. 221.

a b c (Å): 4.9212 4.9212 4.9212
angles (deg): 90.00 90.00 90.00
Sites, in units of the cell vectors:
Cs 0.0000 0.0000 0.0000
Ti 0.0000 0.0000 0.5000
Ti 0.0000 0.5000 0.0000
Ti 0.5000 0.0000 0.0000
V 0.5000 0.5000 0.5000

=====

# 3
This record from Alexandria via LeMat-Bulk describes a relaxed AcMg2Cd2Hg2 crystal. The functional is PBE.

Results
The total DFT energy (no corrections) is -1.602 eV per atom. The value obtained for the formation energy is -0.211 eV per atom. Its volume is 181.3 Å³ per cell. The space-group type is R-3m, No. 166.

a b c (Å): 9.3094 9.3094 9.3094
angles (deg): 30.24 30.24 30.24
Sites, in units of the cell vectors:
Ac 0.0000 0.0000 0.0000
Mg 0.1386 0.1386 0.1386
Mg 0.8614 0.8614 0.8614
Cd 0.2577 0.2577 0.2577
Cd 0.7423 0.7423 0.7423
Hg 0.4337 0.4337 0.4337
Hg 0.5663 0.5663 0.5663

=====

# 4
This record from Alexandria via LeMat-Bulk describes a relaxed Sm4DyCd5 crystal. The functional is PBE.

Results
The total DFT energy (no corrections) is -3.121 eV per atom. The value obtained for the formation energy is -0.316 eV per atom. Its volume is 274.3 Å³ per cell. The space-group type is P4/mmm, No. 123.

a b c (Å): 3.7998 3.7998 18.9990
angles (deg): 90.00 90.00 90.00
Sites, in units of the cell vectors:
Sm 0.0000 0.0000 0.1010
Sm 0.0000 0.0000 0.3026
Sm 0.0000 0.0000 0.6974
Sm 0.0000 0.0000 0.8990
Dy 0.0000 0.0000 0.5000
Cd 0.5000 0.5000 0.0000
Cd 0.5000 0.5000 0.2016
Cd 0.5000 0.5000 0.4050
Cd 0.5000 0.5000 0.5950
Cd 0.5000 0.5000 0.7984

=====

Look up the total DFT energy (no corrections) of the first one.
-8.627 eV per atom

=====

What is the total DFT energy (no corrections) in the first record?
-8.627 eV per atom

=====

Repeat the third record exactly.
This record from Alexandria via LeMat-Bulk describes a relaxed AcMg2Cd2Hg2 crystal. The functional is PBE.

Results
The total DFT energy (no corrections) is -1.602 eV per atom. The value obtained for the formation energy is -0.211 eV per atom. Its volume is 181.3 Å³ per cell. The space-group type is R-3m, No. 166.

a b c (Å): 9.3094 9.3094 9.3094
angles (deg): 30.24 30.24 30.24
Sites, in units of the cell vectors:
Ac 0.0000 0.0000 0.0000
Mg 0.1386 0.1386 0.1386
Mg 0.8614 0.8614 0.8614
Cd 0.2577 0.2577 0.2577
Cd 0.7423 0.7423 0.7423
Hg 0.4337 0.4337 0.4337
Hg 0.5663 0.5663 0.5663

=====

Look up the total DFT energy (no corrections) of the first one.
-8.627 eV per atom